This record from OQMD describes crystalline LuZn at its relaxed geometry. The functional is GGA-PBE.

Computed properties:
As for the density: 9.17 g/cm³. The total energy is -37.15 eV per cell.

a = 5.4676 Å, b = 10.8190 Å, c = 4.4137 Å
α = 90.00°, β = 90.00°, γ = 90.00°
Fractional coordinates of all 12 atoms:
Zn (0.0175, 0.3667, 0.0000)
Zn (0.8066, 0.7788, 0.5000)
Lu (0.2890, 0.6805, 0.5000)
Lu (0.4733, 0.9897, 0.5000)
Zn (0.9171, 0.6511, 0.0000)
Lu (0.7890, 0.4861, 0.5000)
Zn (0.4171, 0.5155, 0.0000)
Lu (0.9733, 0.1769, 0.5000)
Lu (0.4964, 0.2296, 0.0000)
Lu (0.9964, 0.9370, 0.0000)
Zn (0.3066, 0.3879, 0.5000)
Zn (0.5175, 0.8000, 0.0000)

=====

This record from OQMD describes crystalline LuZn at its relaxed geometry. The functional is GGA-PBE.

Computed properties:
As for the density: 9.30 g/cm³. The total energy is -24.58 eV per cell.

a = 9.7724 Å, b = 3.5414 Å, c = 4.9584 Å
α = 90.00°, β = 90.00°, γ = 90.00°
Fractional coordinates of all 8 atoms:
Zn (0.9728, 0.5000, 0.5000)
Lu (0.1848, 0.5000, 0.0000)
Lu (0.4129, 0.5000, 0.5000)
Lu (0.7319, 0.0000, 0.5000)
Lu (0.5038, 0.0000, 0.0000)
Zn (0.1682, 0.0000, 0.5000)
Zn (0.9438, 0.0000, 0.0000)
Zn (0.7485, 0.5000, 0.0000)